A relaxed Ba2CdGaRe crystal. Source: the Alexandria database, functional GGA-PBE.

The structure in extended XYZ format:
```
5
Lattice="-2.741 -2.581 5.024 4.026 0.578 2.494 -1.958 5.672 1.846" Properties=species:S:1:pos:R:3 pbc="T T T"
Ba -1.370 -1.290 2.512
Ba -0.979 2.836 0.923
Re 2.013 0.289 1.247
Cd -0.337 1.835 4.681
Ga 0.000 0.000 0.000
```

Properties
Calculated density (g/cm3): 5.68
Magnetization (μB/f.u.): 1.54
E_tot (eV per atom): -3.46